# 1
A geometry-optimized Ag2SnPd5 structure. Source: the Alexandria database, functional GGA-PBE.

a b c (Å): 8.173 8.173 8.173
angles (deg): 150.50 150.50 42.21
Atoms (fractional coordinates):
Ag  0.249  0.249  0.000
Ag  0.751  0.751  0.000
Sn  0.500  0.500  0.000
Pd  0.000  0.000  0.000
Pd  0.122  0.622  0.500
Pd  0.378  0.878  0.500
Pd  0.622  0.122  0.500
Pd  0.878  0.378  0.500

Values from the calculation:
Polymorph energy (0 for the lowest one) ... 0 meV/atom
Formation energy ... -282 meV/atom
Uncorrected energy ... -37.93 eV/cell
Theoretical density ... 10.90 g cm⁻³
Crystal system ... tetragonal


# 2
A geometry-optimized AgSnPd2 structure. Source: the Alexandria database, functional GGA-PBE.

a b c (Å): 6.072 6.072 6.072
angles (deg): 151.67 133.40 55.44
Atoms (fractional coordinates):
Ag  0.000  0.000  0.000
Sn  0.500  0.500  0.000
Pd  0.256  0.256  0.000
Pd  0.744  0.744  0.000

Values from the calculation:
Polymorph energy (0 for the lowest one) ... 433 meV/atom
Formation energy ... 65 meV/atom
Uncorrected energy ... -16.98 eV/cell
Theoretical density ... 9.51 g cm⁻³
Crystal system ... orthorhombic


# 3
A geometry-optimized Ag4SnPd structure. Source: the Alexandria database, functional GGA-PBE.

a b c (Å): 5.211 5.211 5.721
angles (deg): 107.87 107.87 48.30
Atoms (fractional coordinates):
Ag  0.166  0.166  0.327
Ag  0.170  0.170  0.838
Ag  0.830  0.830  0.162
Ag  0.834  0.834  0.673
Sn  0.500  0.500  0.500
Pd  0.500  0.500  0.000

Values from the calculation:
Formation energy ... -73 meV/atom
Uncorrected energy ... -21.04 eV/cell
Theoretical density ... 9.98 g cm⁻³
Crystal system ... monoclinic


# 4
A geometry-optimized AgSn2Pd7 structure. Source: the Alexandria database, functional GGA-PBE.

a b c (Å): 7.817 7.817 4.152
angles (deg): 90.00 90.00 123.97
Atoms (fractional coordinates):
Ag  0.000  0.000  0.000
Sn  0.305  0.695  0.500
Sn  0.695  0.305  0.500
Pd  0.081  0.290  0.500
Pd  0.194  0.806  0.000
Pd  0.290  0.081  0.500
Pd  0.500  0.500  0.500
Pd  0.710  0.919  0.500
Pd  0.806  0.194  0.000
Pd  0.919  0.710  0.500

Values from the calculation:
Formation energy ... 53 meV/atom
Uncorrected energy ... -46.68 eV/cell
Theoretical density ... 8.60 g cm⁻³
Crystal system ... orthorhombic


formation energy of number 2 (AgSnPd2)?
65 meV/atom